# Fe2As8Os, optimized geometry, DFT PBE-GGA
# Total energy in eV/atom: -5.7307
# Energy of formation in meV per atom: 210
data_Fe2As8Os
_cell_length_a 5.0622
_cell_length_b 7.1855
_cell_length_c 7.1855
_cell_angle_alpha 63.26
_cell_angle_beta 65.30
_cell_angle_gamma 65.30
_symmetry_space_group_name_H-M 'P 1'
_symmetry_Int_Tables_number 1
loop_
_symmetry_equiv_pos_as_xyz
'x,y,z'
loop_
_atom_site_label
_atom_site_type_symbol
_atom_site_fract_x
_atom_site_fract_y
_atom_site_fract_z
_atom_site_occupancy
As1 As 0.8080 0.8456 0.8456 1
As2 As 0.8872 0.3877 0.3877 1
As3 As 0.6042 0.8935 0.3492 1
As4 As 0.3958 0.1065 0.6508 1
Os1 Os 0.0000 0.0000 0.0000 1
As5 As 0.6042 0.3492 0.8935 1
Fe1 Fe 0.3792 0.7300 0.7300 1
As6 As 0.1128 0.6123 0.6123 1
Fe2 Fe 0.6208 0.2700 0.2700 1
As7 As 0.3958 0.6508 0.1065 1
As8 As 0.1920 0.1544 0.1544 1

# La3Pm4Sm, optimized geometry, DFT PBE-GGA
# Total energy in eV/atom: -4.7027
# Relative energy among the computed polymorphs in eV/atom: 0.0746
# Energy of formation in meV per atom: 110
data_La3Pm4Sm
_cell_length_a 3.5573
_cell_length_b 9.1542
_cell_length_c 9.1542
_cell_angle_alpha 81.83
_cell_angle_beta 78.80
_cell_angle_gamma 78.80
_symmetry_space_group_name_H-M 'P 1'
_symmetry_Int_Tables_number 1
loop_
_symmetry_equiv_pos_as_xyz
'x,y,z'
loop_
_atom_site_label
_atom_site_type_symbol
_atom_site_fract_x
_atom_site_fract_y
_atom_site_fract_z
_atom_site_occupancy
Pm1 Pm 0.3667 0.8852 0.3814 1
Pm2 Pm 0.6333 0.6186 0.1148 1
La1 La 0.2409 0.7591 0.7591 1
La2 La 0.0000 0.5000 0.5000 1
Pm3 Pm 0.3667 0.3814 0.8852 1
Sm1 Sm 0.5000 0.0000 0.0000 1
La3 La 0.7591 0.2409 0.2409 1
Pm4 Pm 0.6333 0.1148 0.6186 1

# LiFeNi2, optimized geometry, DFT PBE-GGA
# Total energy in eV/atom: -5.4340
# Energy of formation in meV per atom: 51
data_LiFeNi2
_cell_length_a 4.4353
_cell_length_b 4.4353
_cell_length_c 4.4353
_cell_angle_alpha 133.67
_cell_angle_beta 133.67
_cell_angle_gamma 67.60
_symmetry_space_group_name_H-M 'P 1'
_symmetry_Int_Tables_number 1
loop_
_symmetry_equiv_pos_as_xyz
'x,y,z'
loop_
_atom_site_label
_atom_site_type_symbol
_atom_site_fract_x
_atom_site_fract_y
_atom_site_fract_z
_atom_site_occupancy
Ni1 Ni 0.2500 0.7500 0.5000 1
Li1 Li 0.7500 0.2500 0.5000 1
Fe1 Fe 0.5000 0.5000 0.0000 1
Ni2 Ni 0.0000 0.0000 0.0000 1

# GeAs3W, optimized geometry, DFT PBE-GGA
# Total energy in eV/atom: -5.6313
# Relative energy among the computed polymorphs in eV/atom: 0.0000
# Energy of formation in meV per atom: 673
data_GeAs3W
_cell_length_a 4.9125
_cell_length_b 4.9125
_cell_length_c 4.9125
_cell_angle_alpha 90.00
_cell_angle_beta 90.00
_cell_angle_gamma 90.00
_symmetry_space_group_name_H-M 'P 1'
_symmetry_Int_Tables_number 1
loop_
_symmetry_equiv_pos_as_xyz
'x,y,z'
loop_
_atom_site_label
_atom_site_type_symbol
_atom_site_fract_x
_atom_site_fract_y
_atom_site_fract_z
_atom_site_occupancy
Ge1 Ge 0.5000 0.5000 0.5000 1
As1 As 0.0000 0.5000 0.0000 1
As2 As 0.0000 0.0000 0.5000 1
As3 As 0.5000 0.0000 0.0000 1
W1 W 0.0000 0.0000 0.0000 1

# Li5B8C8, optimized geometry, DFT PBE-GGA
# Total energy in eV/atom: -6.6566
# Relative energy among the computed polymorphs in eV/atom: 0.0017
# Energy of formation in meV per atom: -143
data_Li5B8C8
_cell_length_a 7.9718
_cell_length_b 7.9718
_cell_length_c 9.3887
_cell_angle_alpha 107.85
_cell_angle_beta 107.85
_cell_angle_gamma 19.49
_symmetry_space_group_name_H-M 'P 1'
_symmetry_Int_Tables_number 1
loop_
_symmetry_equiv_pos_as_xyz
'x,y,z'
loop_
_atom_site_label
_atom_site_type_symbol
_atom_site_fract_x
_atom_site_fract_y
_atom_site_fract_z
_atom_site_occupancy
B1 B 0.3658 0.3658 0.3525 1
Li1 Li 0.5000 0.5000 0.7500 1
Li2 Li 0.7465 0.7465 0.3960 1
B2 B 0.8805 0.8805 0.1136 1
C1 C 0.6142 0.6142 0.4696 1
C2 C 0.1117 0.1117 0.7191 1
B3 B 0.6152 0.6152 0.6341 1
Li3 Li 0.2535 0.2535 0.1040 1
C3 C 0.1351 0.1351 0.2316 1
Li4 Li 0.0063 0.0063 0.0285 1
Li5 Li 0.9937 0.9937 0.4715 1
C4 C 0.8883 0.8883 0.7809 1
C5 C 0.3858 0.3858 0.0304 1
B4 B 0.1221 0.1221 0.8886 1
C6 C 0.3735 0.3735 0.5229 1
B5 B 0.1195 0.1195 0.3864 1
B6 B 0.3848 0.3848 0.8659 1
B7 B 0.8779 0.8779 0.6114 1
C7 C 0.8649 0.8649 0.2684 1
C8 C 0.6265 0.6265 0.9771 1
B8 B 0.6342 0.6342 0.1475 1

# ZrTe2Ru, optimized geometry, DFT PBE-GGA
# ΔE_f (raw) in eV/atom: -0.1459
# Total energy in eV/atom: -6.1727
# Relative energy among the computed polymorphs in eV/atom: 0.3225
data_ZrTe2Ru
_cell_length_a 4.8795
_cell_length_b 4.8795
_cell_length_c 4.8795
_cell_angle_alpha 60.00
_cell_angle_beta 60.00
_cell_angle_gamma 60.00
_symmetry_space_group_name_H-M 'P 1'
_symmetry_Int_Tables_number 1
loop_
_symmetry_equiv_pos_as_xyz
'x,y,z'
loop_
_atom_site_label
_atom_site_type_symbol
_atom_site_fract_x
_atom_site_fract_y
_atom_site_fract_z
_atom_site_occupancy
Ru1 Ru 0.5000 0.5000 0.5000 1
Te1 Te 0.7500 0.7500 0.7500 1
Zr1 Zr 0.0000 0.0000 0.0000 1
Te2 Te 0.2500 0.2500 0.2500 1

# CrSb2Os, optimized geometry, DFT PBE-GGA
# ΔE_f (raw) in eV/atom: 0.6072
# Total energy in eV/atom: -6.6673
# Relative energy among the computed polymorphs in eV/atom: 0.3458
data_CrSb2Os
_cell_length_a 5.5053
_cell_length_b 5.5053
_cell_length_c 5.5053
_cell_angle_alpha 137.78
_cell_angle_beta 137.78
_cell_angle_gamma 61.23
_symmetry_space_group_name_H-M 'P 1'
_symmetry_Int_Tables_number 1
loop_
_symmetry_equiv_pos_as_xyz
'x,y,z'
loop_
_atom_site_label
_atom_site_type_symbol
_atom_site_fract_x
_atom_site_fract_y
_atom_site_fract_z
_atom_site_occupancy
Sb1 Sb 0.2500 0.7500 0.5000 1
Cr1 Cr 0.5000 0.5000 0.0000 1
Os1 Os 0.7500 0.2500 0.5000 1
Sb2 Sb 0.0000 0.0000 0.0000 1

# Gd2GaP, optimized geometry, DFT PBE-GGA
# Total energy in eV/atom: -10.1390
# Energy of formation in meV per atom: -989
data_Gd2GaP
_cell_length_a 3.9461
_cell_length_b 3.9461
_cell_length_c 7.8017
_cell_angle_alpha 75.35
_cell_angle_beta 75.35
_cell_angle_gamma 60.00
_symmetry_space_group_name_H-M 'P 1'
_symmetry_Int_Tables_number 1
loop_
_symmetry_equiv_pos_as_xyz
'x,y,z'
loop_
_atom_site_label
_atom_site_type_symbol
_atom_site_fract_x
_atom_site_fract_y
_atom_site_fract_z
_atom_site_occupancy
Gd1 Gd 0.2601 0.2601 0.2198 1
Gd2 Gd 0.7399 0.7399 0.7802 1
Ga1 Ga 0.5000 0.5000 0.5000 1
P1 P 0.0000 0.0000 0.0000 1

# Sc2TlMoH, optimized geometry, DFT PBE-GGA
# Total energy in eV/atom: -6.0122
data_Sc2TlMoH
_cell_length_a 4.6902
_cell_length_b 4.6902
_cell_length_c 3.7483
_cell_angle_alpha 90.00
_cell_angle_beta 90.00
_cell_angle_gamma 90.00
_symmetry_space_group_name_H-M 'P 1'
_symmetry_Int_Tables_number 1
loop_
_symmetry_equiv_pos_as_xyz
'x,y,z'
loop_
_atom_site_label
_atom_site_type_symbol
_atom_site_fract_x
_atom_site_fract_y
_atom_site_fract_z
_atom_site_occupancy
Sc1 Sc 0.0000 0.5000 0.0000 1
Mo1 Mo 0.0000 0.0000 0.5000 1
Tl1 Tl 0.5000 0.5000 0.5000 1
H1 H 0.0000 0.0000 0.0000 1
Sc2 Sc 0.5000 0.0000 0.0000 1

# AcIn3Hg5, optimized geometry, DFT PBE-GGA
# Total energy in eV/atom: -1.6480
# Energy of formation in meV per atom: -111
data_AcIn3Hg5
_cell_length_a 7.4839
_cell_length_b 7.4839
_cell_length_c 10.7707
_cell_angle_alpha 110.33
_cell_angle_beta 110.33
_cell_angle_gamma 90.00
_symmetry_space_group_name_H-M 'P 1'
_symmetry_Int_Tables_number 1
loop_
_symmetry_equiv_pos_as_xyz
'x,y,z'
loop_
_atom_site_label
_atom_site_type_symbol
_atom_site_fract_x
_atom_site_fract_y
_atom_site_fract_z
_atom_site_occupancy
Hg1 Hg 0.6204 0.1204 0.7240 1
Hg2 Hg 0.5000 0.5000 0.0000 1
Hg3 Hg 0.6036 0.6204 0.7240 1
In1 In 0.2500 0.2500 0.5000 1
Hg4 Hg 0.0000 0.0000 0.0000 1
Hg5 Hg 0.8796 0.8964 0.2760 1
Hg6 Hg 0.3796 0.8796 0.2760 1
In2 In 0.8673 0.6327 0.0000 1
In3 In 0.7500 0.7500 0.5000 1
Ac1 Ac 0.2500 0.7500 0.5000 1
In4 In 0.6327 0.1327 0.0000 1
Hg7 Hg 0.1036 0.6036 0.7240 1
Hg8 Hg 0.1204 0.1036 0.7240 1
In5 In 0.3673 0.8673 0.0000 1
In6 In 0.1327 0.3673 0.0000 1
Hg9 Hg 0.8964 0.3964 0.2760 1
Hg10 Hg 0.3964 0.3796 0.2760 1
Ac2 Ac 0.7500 0.2500 0.5000 1

# Zn2Hg3, optimized geometry, DFT PBE-GGA
# Total energy in eV/atom: -0.5936
# Relative energy among the computed polymorphs in eV/atom: 0.0000
# Energy of formation in meV per atom: 97
data_Zn2Hg3
_cell_length_a 7.0637
_cell_length_b 7.0637
_cell_length_c 7.0376
_cell_angle_alpha 59.88
_cell_angle_beta 59.88
_cell_angle_gamma 60.00
_symmetry_space_group_name_H-M 'P 1'
_symmetry_Int_Tables_number 1
loop_
_symmetry_equiv_pos_as_xyz
'x,y,z'
loop_
_atom_site_label
_atom_site_type_symbol
_atom_site_fract_x
_atom_site_fract_y
_atom_site_fract_z
_atom_site_occupancy
Hg1 Hg 0.8775 0.2500 0.2500 1
Hg2 Hg 0.3775 0.1225 0.7500 1
Zn1 Zn 0.3248 0.3248 0.0256 1
Zn2 Zn 0.6752 0.6752 0.9744 1
Hg3 Hg 0.6225 0.8775 0.2500 1
Hg4 Hg 0.1225 0.7500 0.7500 1
Zn3 Zn 0.1752 0.1752 0.4744 1
Hg5 Hg 0.7500 0.3775 0.7500 1
Hg6 Hg 0.2500 0.6225 0.2500 1
Zn4 Zn 0.8248 0.8248 0.5256 1

# Ga2GePt, optimized geometry, DFT PBE-GGA
# Total energy in eV/atom: -4.1671
# Energy of formation in meV per atom: 11
data_Ga2GePt
_cell_length_a 5.6543
_cell_length_b 5.6543
_cell_length_c 7.1238
_cell_angle_alpha 66.62
_cell_angle_beta 66.62
_cell_angle_gamma 90.00
_symmetry_space_group_name_H-M 'P 1'
_symmetry_Int_Tables_number 1
loop_
_symmetry_equiv_pos_as_xyz
'x,y,z'
loop_
_atom_site_label
_atom_site_type_symbol
_atom_site_fract_x
_atom_site_fract_y
_atom_site_fract_z
_atom_site_occupancy
Pt1 Pt 0.0000 0.0000 0.0000 1
Ga1 Ga 0.6298 0.1250 0.2500 1
Pt2 Pt 0.7500 0.2500 0.5000 1
Ga2 Ga 0.1202 0.6250 0.2500 1
Ga3 Ga 0.3750 0.3702 0.7500 1
Ge1 Ge 0.2500 0.7500 0.5000 1
Ge2 Ge 0.5000 0.5000 0.0000 1
Ga4 Ga 0.8750 0.8798 0.7500 1

no.,size of the total moment (μB/f.u.),DOS at the Fermi energy (states/eV/cell)
1,3.6,7.17
2,0.0,13.11
3,3.8,2.85
4,0.0,6.26
5,0.0,4.07
6,0.0,4.81
7,3.0,2.96
8,14.1,2.04
9,0.0,3.41
10,0.0,8.61
11,0.0,3.41
12,0.0,0.55